[1]
The following is a GGA-PBE calculation of a geometry-optimized BeCdPd structure, from the Open Quantum Materials Database.

Values from the calculation:
For the total energy, the calculation gives -3.116 eV/atom. Its crystal system is cubic.

Unit cell a=4.2358 b=4.2358 c=4.2358 alpha=60.00 beta=60.00 gamma=60.00
With the nearest neighbours (Å) after each atom.
Positions (direct):
Be 0.5000 0.5000 0.5000  4 Pd 2.59
Cd 0.0000 0.0000 0.0000  4 Pd 2.59
Pd 0.2500 0.2500 0.2500  4 Cd 2.59, 4 Be 2.59

***

[2]
The following is a GGA-PBE calculation of a geometry-optimized BeCdPd2 structure, from the Open Quantum Materials Database.

Values from the calculation:
For the total energy, the calculation gives -3.868 eV/atom. Its crystal system is cubic.

Unit cell a=4.3972 b=4.3972 c=4.3972 alpha=60.00 beta=60.00 gamma=60.00
With the nearest neighbours (Å) after each atom.
Positions (direct):
Be 0.5000 0.5000 0.5000  4 Cd 2.69, 4 Pd 2.69
Cd 0.2500 0.2500 0.2500  4 Be 2.69, 4 Pd 2.69
Pd 0.0000 0.0000 0.0000  4 Cd 2.69, 4 Pd 2.69
Pd 0.7500 0.7500 0.7500  4 Be 2.69, 4 Pd 2.69

***

[3]
The following is a GGA-PBE calculation of a geometry-optimized BeCdSiPd structure, from the Open Quantum Materials Database.

Values from the calculation:
For the total energy, the calculation gives -3.636 eV/atom. Its crystal system is cubic.

Unit cell a=4.3679 b=4.3679 c=4.3679 alpha=60.00 beta=60.00 gamma=60.00
With the nearest neighbours (Å) after each atom.
Positions (direct):
Be 0.7500 0.7500 0.7500  4 Cd 2.67, 4 Pd 2.67
Cd 0.0000 0.0000 0.0000  4 Be 2.67, 4 Si 2.67
Pd 0.5000 0.5000 0.5000  4 Be 2.67, 4 Si 2.67
Si 0.2500 0.2500 0.2500  4 Cd 2.67, 4 Pd 2.67

***

[4]
The following is a GGA-PBE calculation of a geometry-optimized BeCdSiPd structure, from the Open Quantum Materials Database.

Values from the calculation:
For the total energy, the calculation gives -3.598 eV/atom. Its crystal system is cubic.

Unit cell a=4.4021 b=4.4021 c=4.4021 alpha=60.00 beta=60.00 gamma=60.00
With the nearest neighbours (Å) after each atom.
Positions (direct):
Be 0.7500 0.7500 0.7500  4 Cd 2.70, 4 Si 2.70
Cd 0.5000 0.5000 0.5000  4 Be 2.70, 4 Pd 2.70
Pd 0.2500 0.2500 0.2500  4 Si 2.70, 4 Cd 2.70
Si 0.0000 0.0000 0.0000  4 Pd 2.70, 4 Be 2.70

***

[5]
The following is a GGA-PBE calculation of a geometry-optimized BeCdSnPd structure, from the Open Quantum Materials Database.

Values from the calculation:
For the total energy, the calculation gives -3.319 eV/atom. Its crystal system is cubic.

Unit cell a=4.6292 b=4.6292 c=4.6292 alpha=60.00 beta=60.00 gamma=60.00
With the nearest neighbours (Å) after each atom.
Positions (direct):
Be 0.7500 0.7500 0.7500  4 Cd 2.83, 4 Sn 2.83
Cd 0.5000 0.5000 0.5000  4 Pd 2.83, 4 Be 2.83
Pd 0.2500 0.2500 0.2500  4 Cd 2.83, 4 Sn 2.83
Sn 0.0000 0.0000 0.0000  4 Pd 2.83, 4 Be 2.83

***

[6]
The following is a GGA-PBE calculation of a geometry-optimized PmBeCd structure, from the Open Quantum Materials Database.

Values from the calculation:
For the total energy, the calculation gives -2.491 eV/atom. Its crystal system is cubic.

Unit cell a=4.8472 b=4.8472 c=4.8472 alpha=60.00 beta=60.00 gamma=60.00
With the nearest neighbours (Å) after each atom.
Positions (direct):
Be 0.5000 0.5000 0.5000  4 Pm 2.97
Cd 0.0000 0.0000 0.0000  4 Pm 2.97
Pm 0.2500 0.2500 0.2500  4 Cd 2.97, 4 Be 2.97

***

[7]
The following is a GGA-PBE calculation of a geometry-optimized PrBeCd structure, from the Open Quantum Materials Database.

Values from the calculation:
For the total energy, the calculation gives -2.506 eV/atom. Its crystal system is cubic.

Unit cell a=4.9083 b=4.9083 c=4.9083 alpha=60.00 beta=60.00 gamma=60.00
With the nearest neighbours (Å) after each atom.
Positions (direct):
Be 0.2500 0.2500 0.2500  4 Pr 3.01
Cd 0.7500 0.7500 0.7500  4 Pr 3.01
Pr 0.0000 0.0000 0.0000  4 Be 3.01, 4 Cd 3.01

***

[8]
The following is a GGA-PBE calculation of a geometry-optimized Be2CdPt2 structure, from the Open Quantum Materials Database.

Values from the calculation:
For the total energy, the calculation gives -4.534 eV/atom. Its crystal system is tetragonal.

Unit cell a=6.4190 b=6.4190 c=6.4190 alpha=148.34 beta=148.34 gamma=45.38
With the nearest neighbours (Å) after each atom.
Positions (direct):
Be 0.7500 0.2500 0.5000  4 Pt 2.31, 4 Be 2.48
Be 0.2500 0.7500 0.5000  4 Pt 2.31, 4 Be 2.48
Cd 0.0000 0.0000 0.0000  8 Pt 2.88
Pt 0.3766 0.3766 0.0000  4 Be 2.31
Pt 0.6234 0.6234 0.0000  4 Be 2.31

***

[9]
The following is a GGA-PBE calculation of a geometry-optimized BeCd2Pt2 structure, from the Open Quantum Materials Database.

Values from the calculation:
For the total energy, the calculation gives -3.900 eV/atom. Its crystal system is tetragonal.

Unit cell a=6.0149 b=6.0149 c=4.6255 alpha=90.00 beta=90.00 gamma=90.00
With the nearest neighbours (Å) after each atom.
Positions (direct):
Be 0.0000 0.0000 0.0000  4 Pt 2.27
Be 0.5000 0.5000 0.0000  4 Pt 2.27
Cd 0.3328 0.1672 0.5000  6 Pt 2.76-3.02, 1 Cd 2.84
Cd 0.8328 0.3328 0.5000  6 Pt 2.76-3.02, 1 Cd 2.84
Cd 0.1672 0.6672 0.5000  6 Pt 2.76-3.02, 1 Cd 2.84
Cd 0.6672 0.8328 0.5000  6 Pt 2.76-3.02, 1 Cd 2.84
Pt 0.6557 0.1557 0.0000  2 Be 2.27
Pt 0.1557 0.3443 0.0000  2 Be 2.27
Pt 0.8443 0.6557 0.0000  2 Be 2.27
Pt 0.3443 0.8443 0.0000  2 Be 2.27

***

[10]
The following is a GGA-PBE calculation of a geometry-optimized Be2CdPt2 structure, from the Open Quantum Materials Database.

Values from the calculation:
For the total energy, the calculation gives -4.644 eV/atom. Its crystal system is tetragonal.

Unit cell a=6.9122 b=6.9122 c=2.7799 alpha=90.00 beta=90.00 gamma=90.00
With the nearest neighbours (Å) after each atom.
Positions (direct):
Be 0.6269 0.1269 0.0000  6 Pt 2.43-2.50, 1 Be 2.48, 2 Cd 2.72
Be 0.1269 0.3731 0.0000  6 Pt 2.43-2.50, 1 Be 2.48, 2 Cd 2.72
Be 0.8731 0.6269 0.0000  6 Pt 2.43-2.50, 1 Be 2.48, 2 Cd 2.72
Be 0.3731 0.8731 0.0000  6 Pt 2.43-2.50, 1 Be 2.48, 2 Cd 2.72
Cd 0.0000 0.0000 0.0000  4 Be 2.72, 2 Cd 2.78, 8 Pt 2.94
Cd 0.5000 0.5000 0.0000  4 Be 2.72, 2 Cd 2.78, 8 Pt 2.94
Pt 0.3397 0.1603 0.5000  6 Be 2.43-2.50
Pt 0.8397 0.3397 0.5000  6 Be 2.43-2.50
Pt 0.1603 0.6603 0.5000  6 Be 2.43-2.50
Pt 0.6603 0.8397 0.5000  6 Be 2.43-2.50

***

[11]
The following is a GGA-PBE calculation of a geometry-optimized BeCdPt structure, from the Open Quantum Materials Database.

Values from the calculation:
For the total energy, the calculation gives -3.514 eV/atom. Its crystal system is cubic.

Unit cell a=4.2551 b=4.2551 c=4.2551 alpha=60.00 beta=60.00 gamma=60.00
With the nearest neighbours (Å) after each atom.
Positions (direct):
Be 0.2500 0.2500 0.2500  4 Pt 2.61
Cd 0.7500 0.7500 0.7500  4 Pt 2.61
Pt 0.0000 0.0000 0.0000  4 Cd 2.61, 4 Be 2.61

***

[12]
The following is a GGA-PBE calculation of a geometry-optimized BeCdSiPt structure, from the Open Quantum Materials Database.

Values from the calculation:
For the total energy, the calculation gives -3.916 eV/atom. Its crystal system is cubic.

Unit cell a=4.3587 b=4.3587 c=4.3587 alpha=60.00 beta=60.00 gamma=60.00
With the nearest neighbours (Å) after each atom.
Positions (direct):
Be 0.7500 0.7500 0.7500  4 Pt 2.67, 4 Cd 2.67
Cd 0.0000 0.0000 0.0000  4 Si 2.67, 4 Be 2.67
Pt 0.5000 0.5000 0.5000  4 Be 2.67, 4 Si 2.67
Si 0.2500 0.2500 0.2500  4 Cd 2.67, 4 Pt 2.67

***

[13]
The following is a GGA-PBE calculation of a geometry-optimized BeCdSiPt structure, from the Open Quantum Materials Database.

Values from the calculation:
For the total energy, the calculation gives -3.797 eV/atom. Its crystal system is cubic.

Unit cell a=4.4166 b=4.4166 c=4.4166 alpha=60.00 beta=60.00 gamma=60.00
With the nearest neighbours (Å) after each atom.
Positions (direct):
Be 0.7500 0.7500 0.7500  4 Cd 2.70, 4 Si 2.70
Cd 0.5000 0.5000 0.5000  4 Be 2.70, 4 Pt 2.70
Pt 0.2500 0.2500 0.2500  4 Si 2.70, 4 Cd 2.70
Si 0.0000 0.0000 0.0000  4 Pt 2.70, 4 Be 2.70

***

[14]
The following is a GGA-PBE calculation of a geometry-optimized ZrBeCdPt structure, from the Open Quantum Materials Database.

Values from the calculation:
For the total energy, the calculation gives -5.178 eV/atom. Its crystal system is cubic.

Unit cell a=4.5625 b=4.5625 c=4.5625 alpha=60.00 beta=60.00 gamma=60.00
With the nearest neighbours (Å) after each atom.
Positions (direct):
Be 0.7500 0.7500 0.7500  4 Cd 2.79, 4 Zr 2.79
Cd 0.5000 0.5000 0.5000  4 Be 2.79, 4 Pt 2.79
Pt 0.2500 0.2500 0.2500  4 Cd 2.79, 4 Zr 2.79
Zr 0.0000 0.0000 0.0000  4 Be 2.79, 4 Pt 2.79

***

[15]
The following is a GGA-PBE calculation of a geometry-optimized ZrBeCdPt structure, from the Open Quantum Materials Database.

Values from the calculation:
For the total energy, the calculation gives -5.011 eV/atom. Its crystal system is cubic.

Unit cell a=4.5317 b=4.5317 c=4.5317 alpha=60.00 beta=60.00 gamma=60.00
With the nearest neighbours (Å) after each atom.
Positions (direct):
Be 0.7500 0.7500 0.7500  4 Pt 2.78, 4 Zr 2.78
Cd 0.2500 0.2500 0.2500  4 Zr 2.78, 4 Pt 2.78
Pt 0.5000 0.5000 0.5000  4 Be 2.78, 4 Cd 2.78
Zr 0.0000 0.0000 0.0000  4 Cd 2.78, 4 Be 2.78